Material: TbDySiS
Method: DFT, PBE-GGA
State: optimized geometry

Calculated values
- Raw formation energy: -5.49 eV/f.u.
- VASP energy: -6.069 eV per atom

a b c (Å): 4.0199 4.0199 19.9934
angles (deg): 90.00 90.00 120.00
Space group R3m (No. 160, hexagonal axes)
Inequivalent atoms, fractional coordinates:
1 Tb 0.0000 0.0000 0.0000 (multiplicity 3)
2 Dy 0.0000 0.0000 0.4993 (multiplicity 3)
3 Si 0.0000 0.0000 0.7500 (multiplicity 3)
4 S 0.0000 0.0000 0.2492 (multiplicity 3)